1.
K3AlAu4 | PBE-GGA | optimized geometry Values from VASP.

Calculated values
The energy above the most stable polymorph in this dataset is 0 kJ/mol of formula units. As for the calculated total energy: -2.84 eV per atom. For the density of states at the Fermi level, the calculation gives 1.460 states/eV/cell. The calculation puts the formation energy from the elements at -0.319 eV per atom.

```
&SYSTEM
  ibrav = 0, nat = 8, ntyp = 3
/
ATOMIC_SPECIES
K 39.10 K.upf
Al 26.98 Al.upf
Au 196.97 Au.upf
CELL_PARAMETERS angstrom
-4.6975 3.9635 -3.0723
-1.2718 -3.6365 5.6898
4.7520 4.4771 2.1420
ATOMIC_POSITIONS angstrom
K 0.9642 5.1352 1.5572
K 0.0496 7.6819 -0.8466
K -2.1725 1.0483 3.0503
Al 1.7417 0.6711 3.8883
Au 2.5880 2.2573 5.6200
Au 0.9134 1.8528 1.8515
Au -1.2654 2.8574 0.2556
Au 0.0296 -0.9197 4.8198
```

2.
KAl2Au | PBE-GGA | optimized geometry Values from VASP.

Calculated values
As for the calculated total energy: -2.69 eV per atom. For the density of states at the Fermi level, the calculation gives 1.641 states/eV/cell. The calculation puts the formation energy from the elements at 0.274 eV per atom.

```
&SYSTEM
  ibrav = 0, nat = 4, ntyp = 3
/
ATOMIC_SPECIES
K 39.10 K.upf
Au 196.97 Au.upf
Al 26.98 Al.upf
CELL_PARAMETERS angstrom
4.2217 0.0000 0.0000
0.0000 4.3634 0.0000
0.0000 0.0000 4.9159
ATOMIC_POSITIONS angstrom
K 0.0000 2.1817 2.4579
Au 2.1109 0.0000 2.4579
Al 0.0000 0.0000 0.0000
Al 2.1109 2.1817 0.0000
```

3.
KAlAu2 | PBE-GGA | optimized geometry Values from VASP.

Calculated values
The energy above the most stable polymorph in this dataset is 120 kJ/mol of formula units. As for the calculated total energy: -2.93 eV per atom. For the density of states at the Fermi level, the calculation gives 1.445 states/eV/cell. The calculation puts the formation energy from the elements at -0.077 eV per atom.

```
&SYSTEM
  ibrav = 0, nat = 4, ntyp = 3
/
ATOMIC_SPECIES
K 39.10 K.upf
Au 196.97 Au.upf
Al 26.98 Al.upf
CELL_PARAMETERS angstrom
5.4985 -0.0109 0.0021
0.6740 5.4570 -0.0021
-2.2299 -3.6936 3.4085
ATOMIC_POSITIONS angstrom
K 3.1774 -0.4907 1.7053
Au 0.4130 0.3644 0.0000
Au 2.6732 2.3586 0.0000
Al 0.7652 2.2432 1.7032
```

4.
KAlAu2 | PBE-GGA | optimized geometry Values from VASP.

Calculated values
The energy above the most stable polymorph in this dataset is 138 kJ/mol of formula units. As for the calculated total energy: -2.88 eV per atom. For the density of states at the Fermi level, the calculation gives 1.155 states/eV/cell. The calculation puts the formation energy from the elements at -0.028 eV per atom.

```
&SYSTEM
  ibrav = 0, nat = 4, ntyp = 3
/
ATOMIC_SPECIES
K 39.10 K.upf
Au 196.97 Au.upf
Al 26.98 Al.upf
CELL_PARAMETERS angstrom
5.4759 0.0000 0.0000
0.0000 5.4759 0.0000
0.0000 0.0000 2.8364
ATOMIC_POSITIONS angstrom
K 2.7380 0.0000 1.4182
Au 0.0000 0.0000 0.0000
Au 2.7380 2.7380 0.0000
Al 0.0000 2.7380 1.4182
```

5.
KAlAu2 | PBE-GGA | optimized geometry Values from VASP.

Calculated values
The energy above the most stable polymorph in this dataset is 31 kJ/mol of formula units. As for the calculated total energy: -3.16 eV per atom. For the density of states at the Fermi level, the calculation gives 1.284 states/eV/cell. The calculation puts the formation energy from the elements at -0.307 eV per atom.

```
&SYSTEM
  ibrav = 0, nat = 4, ntyp = 3
/
ATOMIC_SPECIES
K 39.10 K.upf
Au 196.97 Au.upf
Al 26.98 Al.upf
CELL_PARAMETERS angstrom
4.5032 -0.0213 0.0488
2.2786 3.8842 0.0488
2.0880 1.1893 6.3298
ATOMIC_POSITIONS angstrom
K 4.3982 2.5052 3.3490
Au 2.1055 1.1993 5.8231
Au 2.2646 1.2899 0.5798
Al 6.6242 3.7732 6.2190
```

6.
KAl2Au | PBE-GGA | optimized geometry Values from VASP.

Calculated values
As for the calculated total energy: -3.18 eV per atom. For the density of states at the Fermi level, the calculation gives 1.235 states/eV/cell. The calculation puts the formation energy from the elements at -0.218 eV per atom.

```
&SYSTEM
  ibrav = 0, nat = 4, ntyp = 3
/
ATOMIC_SPECIES
K 39.10 K.upf
Au 196.97 Au.upf
Al 26.98 Al.upf
CELL_PARAMETERS angstrom
-3.6965 -4.1326 -3.9703
0.6456 -4.9683 -4.6266
-1.4217 -6.5926 -1.0112
ATOMIC_POSITIONS angstrom
K -3.3545 -11.7701 -7.2061
Au -1.1182 -3.9234 -2.4020
Al -4.2008 -14.7396 -9.0241
Al -2.5082 -8.8006 -5.3880
```

7.
K2Al3Au9 | PBE-GGA | optimized geometry Values from VASP.

Calculated values
As for the calculated total energy: -3.35 eV per atom. For the density of states at the Fermi level, the calculation gives 8.538 states/eV/cell. The calculation puts the formation energy from the elements at -0.286 eV per atom.

```
&SYSTEM
  ibrav = 0, nat = 28, ntyp = 3
/
ATOMIC_SPECIES
K 39.10 K.upf
Al 26.98 Al.upf
Au 196.97 Au.upf
CELL_PARAMETERS angstrom
-1.4375 7.0429 3.4353
-2.8182 -1.5205 -7.2950
-6.7374 -8.0721 4.1058
ATOMIC_POSITIONS angstrom
K -6.2439 -4.0852 2.3906
K -4.7492 1.5355 -2.1446
K -6.7001 -6.9290 -1.1753
K -4.2929 4.3794 1.4214
Al -0.7188 3.5215 1.7176
Al -5.4965 -1.2748 0.1230
Al -5.0720 1.6696 3.6943
Al -5.9211 -4.2192 -3.4483
Al -1.2330 0.6935 -1.9351
Al -9.7600 -3.2432 2.1811
Au -8.2916 -4.2717 -2.0405
Au -2.7014 1.7221 2.2866
Au -7.9745 -2.4315 0.2428
Au -3.0186 -0.1182 0.0033
Au -8.8934 -5.2912 0.7003
Au -2.0997 2.7416 -0.4543
Au -5.5435 -3.7857 -0.8390
Au -5.4495 1.2361 1.0851
Au -6.7027 -0.0302 5.1374
Au -4.2903 -2.5194 -4.8914
Au -9.1666 -8.2139 -2.9328
Au -1.8264 5.6642 3.1789
Au -5.1424 -1.0290 2.9101
Au -5.8507 -1.5206 -2.6640
Au -7.3751 0.2874 -0.9760
Au -3.6179 -2.8370 1.2221
Au -8.3738 -2.4841 4.3863
Au -2.6192 -0.0655 -4.1403
```

8.
KAl2Au | PBE-GGA | optimized geometry Values from VASP.

Calculated values
As for the calculated total energy: -2.80 eV per atom. For the density of states at the Fermi level, the calculation gives 1.300 states/eV/cell. The calculation puts the formation energy from the elements at 0.166 eV per atom.

```
&SYSTEM
  ibrav = 0, nat = 4, ntyp = 3
/
ATOMIC_SPECIES
K 39.10 K.upf
Au 196.97 Au.upf
Al 26.98 Al.upf
CELL_PARAMETERS angstrom
5.2531 -0.0629 -0.3632
-0.0389 5.2534 -0.3632
-2.9402 -2.9268 4.1076
ATOMIC_POSITIONS angstrom
K 2.4589 -0.1961 1.6906
Au 3.0364 2.1640 -0.3632
Al 4.9421 0.2496 -0.3632
Al -0.3032 2.5786 1.6906
```